Record 1
CeFeCo2 (PBE-GGA, optimized geometry); formation enthalpy at 0 K = 0.031 eV per atom; E = -113.93 eV per cell; DOS(E_F) = 1.20 states/eV/atom
1.0
4.819 0.000 0.000
0.000 4.690 0.000
0.000 0.000 11.265
Ce Fe Co
4 4 8
Direct
0.250 0.000 0.111 Ce
0.250 0.500 0.363 Ce
0.750 0.000 0.889 Ce
0.750 0.500 0.637 Ce
0.250 0.000 0.675 Fe
0.250 0.500 0.638 Fe
0.750 0.000 0.325 Fe
0.750 0.500 0.362 Fe
0.000 0.000 0.500 Co
0.000 0.500 0.000 Co
0.250 0.258 0.843 Co
0.250 0.742 0.843 Co
0.500 0.000 0.500 Co
0.500 0.500 0.000 Co
0.750 0.258 0.157 Co
0.750 0.742 0.157 Co

***

Record 2
Ce3Fe2Co7 (PBE-GGA, optimized geometry); formation enthalpy at 0 K = -0.162 eV per atom; E = -86.42 eV per cell; DOS(E_F) = 1.57 states/eV/atom
1.0
2.494 1.440 8.079
-2.494 1.440 8.079
0.000 -2.879 8.079
Ce Fe Co
3 2 7
Direct
0.000 0.000 0.000 Ce
0.140 0.140 0.140 Ce
0.860 0.860 0.860 Ce
0.333 0.333 0.333 Fe
0.667 0.667 0.667 Fe
0.082 0.582 0.582 Co
0.418 0.418 0.918 Co
0.418 0.918 0.418 Co
0.500 0.500 0.500 Co
0.582 0.082 0.582 Co
0.582 0.582 0.082 Co
0.918 0.418 0.418 Co

***

Record 3
Ce2Fe12Co5 (PBE-GGA, optimized geometry); formation enthalpy at 0 K = -0.026 eV per atom; E = -149.44 eV per cell; DOS(E_F) = 1.24 states/eV/atom
1.0
4.186 2.417 4.188
-4.186 2.417 4.188
0.000 -4.833 4.188
Ce Fe Co
2 12 5
Direct
0.155 0.155 0.155 Ce
0.845 0.845 0.845 Ce
0.161 0.161 0.653 Fe
0.161 0.653 0.161 Fe
0.203 0.500 0.797 Fe
0.203 0.797 0.500 Fe
0.347 0.839 0.839 Fe
0.500 0.203 0.797 Fe
0.500 0.797 0.203 Fe
0.653 0.161 0.161 Fe
0.797 0.203 0.500 Fe
0.797 0.500 0.203 Fe
0.839 0.347 0.839 Fe
0.839 0.839 0.347 Fe
0.000 0.500 0.500 Co
0.408 0.408 0.408 Co
0.500 0.000 0.500 Co
0.500 0.500 0.000 Co
0.592 0.592 0.592 Co

***

Record 4
Ce2FeCo3 (PBE-GGA, optimized geometry); formation enthalpy at 0 K = -0.184 eV per atom; E = -85.51 eV per cell; DOS(E_F) = 1.17 states/eV/atom
1.0
5.188 0.000 0.000
-2.594 4.493 0.000
0.000 0.000 7.867
Ce Fe Co
4 2 6
Direct
0.333 0.667 0.063 Ce
0.333 0.667 0.437 Ce
0.667 0.333 0.563 Ce
0.667 0.333 0.937 Ce
0.000 0.000 0.000 Fe
0.000 0.000 0.500 Fe
0.164 0.328 0.750 Co
0.164 0.836 0.750 Co
0.328 0.164 0.250 Co
0.672 0.836 0.750 Co
0.836 0.164 0.250 Co
0.836 0.672 0.250 Co

***

Record 5
Ce3FeCo8 (PBE-GGA, optimized geometry); formation enthalpy at 0 K = -0.126 eV per atom; E = -84.62 eV per cell; DOS(E_F) = 1.45 states/eV/atom
1.0
2.466 1.423 8.137
-2.466 1.423 8.137
0.000 -2.847 8.137
Ce Fe Co
3 1 8
Direct
0.000 0.000 0.000 Ce
0.129 0.129 0.129 Ce
0.510 0.510 0.510 Ce
0.632 0.632 0.632 Fe
0.058 0.566 0.566 Co
0.068 0.068 0.574 Co
0.068 0.574 0.068 Co
0.316 0.316 0.316 Co
0.566 0.058 0.566 Co
0.566 0.566 0.058 Co
0.574 0.068 0.068 Co
0.817 0.817 0.817 Co

***

Record 6
CeFe2Co4 (PBE-GGA, optimized geometry); formation enthalpy at 0 K = -0.070 eV per atom; E = -103.54 eV per cell; DOS(E_F) = 1.12 states/eV/atom
1.0
6.165 0.000 0.000
0.000 6.165 0.000
0.000 0.000 4.869
Ce Fe Co
2 4 8
Direct
0.000 0.000 0.000 Ce
0.500 0.500 0.500 Ce
0.000 0.500 0.250 Fe
0.000 0.500 0.750 Fe
0.500 0.000 0.250 Fe
0.500 0.000 0.750 Fe
0.201 0.201 0.500 Co
0.201 0.799 0.500 Co
0.299 0.299 0.000 Co
0.299 0.701 0.000 Co
0.701 0.299 0.000 Co
0.701 0.701 0.000 Co
0.799 0.201 0.500 Co
0.799 0.799 0.500 Co

***

Record 7
Ce3FeCo (PBE-GGA, optimized geometry); formation enthalpy at 0 K = -0.098 eV per atom; E = -67.72 eV per cell; DOS(E_F) = 1.42 states/eV/atom
1.0
4.301 0.000 0.000
-2.057 5.893 0.000
-0.197 -0.373 7.920
Ce Fe Co
6 2 2
Direct
0.239 0.237 0.248 Ce
0.249 0.720 0.042 Ce
0.256 0.778 0.457 Ce
0.744 0.222 0.543 Ce
0.751 0.280 0.958 Ce
0.761 0.763 0.752 Ce
0.221 0.052 0.776 Fe
0.779 0.948 0.224 Fe
0.244 0.437 0.716 Co
0.756 0.563 0.284 Co

***

Record 8
Ce2Fe5Co5 (PBE-GGA, optimized geometry); formation enthalpy at 0 K = -0.088 eV per atom; E = -90.76 eV per cell; DOS(E_F) = 1.22 states/eV/atom
1.0
3.941 0.000 0.000
0.000 5.046 0.000
0.000 0.000 8.629
Ce Fe Co
2 5 5
Direct
0.000 0.000 0.000 Ce
0.000 0.500 0.500 Ce
0.000 0.000 0.332 Fe
0.000 0.000 0.668 Fe
0.000 0.500 0.166 Fe
0.000 0.500 0.834 Fe
0.500 0.000 0.500 Fe
0.500 0.250 0.249 Co
0.500 0.250 0.751 Co
0.500 0.500 0.000 Co
0.500 0.750 0.249 Co
0.500 0.750 0.751 Co

***

Record 9
CeFeCo3 (PBE-GGA, optimized geometry); formation enthalpy at 0 K = 0.030 eV per atom; E = -71.12 eV per cell; DOS(E_F) = 1.39 states/eV/atom
1.0
-2.379 4.026 4.048
2.379 -4.026 4.048
2.379 4.026 -4.048
Ce Fe Co
2 2 6
Direct
0.298 0.048 0.250 Ce
0.702 0.952 0.750 Ce
0.000 0.500 0.500 Fe
0.500 0.500 0.000 Fe
0.072 0.322 0.750 Co
0.249 0.000 0.749 Co
0.249 0.500 0.249 Co
0.751 0.000 0.251 Co
0.751 0.500 0.751 Co
0.928 0.678 0.250 Co

***

Record 10
Ce3Fe7Co2 (PBE-GGA, optimized geometry); formation enthalpy at 0 K = -0.068 eV per atom; E = -92.07 eV per cell; DOS(E_F) = 1.60 states/eV/atom
1.0
2.501 1.444 8.340
-2.501 1.444 8.340
0.000 -2.887 8.340
Ce Fe Co
3 7 2
Direct
0.000 0.000 0.000 Ce
0.142 0.142 0.142 Ce
0.858 0.858 0.858 Ce
0.083 0.581 0.581 Fe
0.419 0.419 0.917 Fe
0.419 0.917 0.419 Fe
0.500 0.500 0.500 Fe
0.581 0.083 0.581 Fe
0.581 0.581 0.083 Fe
0.917 0.419 0.419 Fe
0.332 0.332 0.332 Co
0.668 0.668 0.668 Co

***

Record 11
CeFeCo2 (PBE-GGA, optimized geometry); formation enthalpy at 0 K = 0.061 eV per atom; E = -28.36 eV per cell; DOS(E_F) = 1.59 states/eV/atom
1.0
4.034 0.000 0.000
0.000 4.034 0.000
0.000 0.000 3.569
Ce Fe Co
1 1 2
Direct
0.000 0.000 0.000 Ce
0.500 0.500 0.000 Fe
0.000 0.500 0.500 Co
0.500 0.000 0.500 Co

***

Record 12
Ce8FeCo2 (PBE-GGA, optimized geometry); formation enthalpy at 0 K = -0.001 eV per atom; E = -70.15 eV per cell; DOS(E_F) = 2.46 states/eV/atom
1.0
4.165 -5.531 0.000
4.165 5.531 0.000
-2.197 0.000 5.627
Ce Fe Co
8 1 2
Direct
0.000 0.000 0.000 Ce
0.232 0.232 0.602 Ce
0.265 0.515 0.156 Ce
0.430 0.777 0.808 Ce
0.515 0.265 0.156 Ce
0.711 0.968 0.449 Ce
0.777 0.430 0.808 Ce
0.968 0.711 0.449 Ce
0.616 0.616 0.616 Fe
0.322 0.910 0.294 Co
0.910 0.322 0.294 Co

***

Question: formation enthalpy at 0 K of number 9 (CeFeCo3)?
Answer: 0.030 eV per atom

***

Question: Among the records above, which one has the lowest formation enthalpy at 0 K?
Answer: Ce2FeCo3

***

Question: What is the formula in the eleventh record?
Answer: CeFeCo2

***

Question: The highest DOS(E_F) belongs to which entry?
Answer: Ce8FeCo2